First-principles (PBE-GGA) data for a geometry-optimized HfZrCuAs structure, as listed in the Open Quantum Materials Database. Values from VASP.

The total magnetization is 0.538 Bohr magnetons per cell. Its symmetry is F-43m. Its energy above the lowest structure with this stoichiometry is 0.000 eV/atom. The calculated volume is 73.7 Å³/f.u.

Structure (Quantum ESPRESSO input):
```
&SYSTEM
  ibrav = 0, nat = 4, ntyp = 4
/
ATOMIC_SPECIES
Hf 178.49 Hf.upf
Zr 91.22 Zr.upf
Cu 63.55 Cu.upf
As 74.92 As.upf
ATOMIC_POSITIONS crystal
Hf 0.000 0.000 0.000
Zr 0.250 0.250 0.250
Cu 0.750 0.750 0.750
As 0.500 0.500 0.500
CELL_PARAMETERS angstrom
0.000 3.328 3.328
3.328 0.000 3.328
3.328 3.328 0.000
```